Record 1
The following is a DFT calculation (PBE) of a geometry-optimized Rb5LiTl4 structure.

abc: 5.1248 9.4818 12.0232
angles: 112.69 102.31 90.00
Atoms (fractional coordinates):
Rb (0.5000, 0.5000, 0.0000)
Rb (0.1987, 0.7976, 0.3974)
Rb (0.8539, 0.7109, 0.7078)
Rb (0.8013, 0.2024, 0.6026)
Rb (0.1461, 0.2891, 0.2922)
Li (0.5000, 0.0000, 0.0000)
Tl (0.0333, 0.8788, 0.0665)
Tl (0.9667, 0.1212, 0.9335)
Tl (0.3849, 0.0638, 0.7699)
Tl (0.6151, 0.9362, 0.2301)

E: -1.689 eV per atom
E_form: -0.7 eV/f.u.

***

Record 2
The following is a DFT calculation (PBE) of a geometry-optimized Rb2LiTl structure.

abc: 10.2600 10.2600 8.0813
angles: 50.60 50.60 90.00
Atoms (fractional coordinates):
Rb (0.8750, 0.8703, 0.7500)
Rb (0.3750, 0.3797, 0.7500)
Rb (0.1297, 0.6250, 0.2500)
Rb (0.6203, 0.1250, 0.2500)
Tl (0.0000, 0.0000, 0.0000)
Tl (0.7500, 0.2500, 0.5000)
Li (0.2500, 0.7500, 0.5000)
Li (0.5000, 0.5000, 0.0000)

E: -1.369 eV per atom
Excess energy over the best structure of this formula in the dataset: 0.14 eV per formula unit
E_form: 0.7 eV/f.u.

***

Record 3
The following is a DFT calculation (PBE) of a geometry-optimized RbLi4Tl structure.

abc: 6.1010 6.1010 6.1010
angles: 60.00 60.00 60.00
Atoms (fractional coordinates):
Rb (0.2500, 0.2500, 0.2500)
Li (0.6295, 0.6295, 0.6295)
Li (0.6295, 0.6295, 0.1116)
Li (0.1116, 0.6295, 0.6295)
Li (0.6295, 0.1116, 0.6295)
Tl (0.0000, 0.0000, 0.0000)

E: -1.764 eV per atom
E_form: 0.4 eV/f.u.

***

Record 4
The following is a DFT calculation (PBE) of a geometry-optimized RbLi3Tl9 structure.

abc: 6.1608 8.0205 8.5253
angles: 82.61 68.82 69.13
Atoms (fractional coordinates):
Tl (0.7102, 0.7802, 0.7707)
Tl (0.4809, 0.7802, 0.2293)
Tl (0.3471, 0.6593, 0.6409)
Tl (0.0120, 0.3407, 0.6409)
Tl (0.2898, 0.2198, 0.2293)
Tl (0.9880, 0.6593, 0.3591)
Tl (0.6529, 0.3407, 0.3591)
Tl (0.0000, 0.5000, 0.0000)
Tl (0.5191, 0.2198, 0.7707)
Li (0.0000, 0.0000, 0.5000)
Li (0.5000, 0.0000, 0.5000)
Li (0.5000, 0.5000, 0.0000)
Rb (0.0000, 0.0000, 0.0000)

E: -2.255 eV per atom
E_form: -1.3 eV/f.u.

***

Record 5
The following is a DFT calculation (PBE) of a geometry-optimized Rb2LiTl2 structure.

abc: 5.0527 5.0527 11.4812
angles: 77.29 77.29 60.00
Atoms (fractional coordinates):
Tl (0.6854, 0.6854, 0.9439)
Tl (0.3146, 0.3146, 0.0561)
Rb (0.4299, 0.4299, 0.7104)
Rb (0.5701, 0.5701, 0.2896)
Li (0.0000, 0.0000, 0.0000)

E: -1.815 eV per atom
Excess energy over the best structure of this formula in the dataset: 0.00 eV per formula unit
E_form: -0.5 eV/f.u.

***

Record 6
The following is a DFT calculation (PBE) of a geometry-optimized RbLiTl3 structure.

abc: 6.3785 10.3937 10.1032
angles: 104.25 90.00 90.00
Atoms (fractional coordinates):
Tl (0.3893, 0.3729, 0.8138)
Tl (0.6107, 0.6271, 0.1862)
Tl (0.1107, 0.8729, 0.8138)
Tl (0.3375, 0.9520, 0.1040)
Tl (0.8893, 0.1271, 0.1862)
Tl (0.3719, 0.0573, 0.6469)
Tl (0.8719, 0.4427, 0.3531)
Tl (0.8375, 0.5480, 0.8960)
Tl (0.1625, 0.4520, 0.1040)
Tl (0.1281, 0.5573, 0.6469)
Tl (0.6281, 0.9427, 0.3531)
Tl (0.6625, 0.0480, 0.8960)
Li (0.6904, 0.3369, 0.0474)
Li (0.3096, 0.6631, 0.9526)
Li (0.8096, 0.8369, 0.0474)
Li (0.1904, 0.1631, 0.9526)
Rb (0.8761, 0.2186, 0.6248)
Rb (0.3761, 0.2814, 0.3752)
Rb (0.6239, 0.7186, 0.6248)
Rb (0.1239, 0.7814, 0.3752)

E: -2.093 eV per atom
Excess energy over the best structure of this formula in the dataset: 0.00 eV per formula unit
E_form: -0.5 eV/f.u.

***

Record 7
The following is a DFT calculation (PBE) of a geometry-optimized RbLiTl3 structure.

abc: 5.4600 5.4600 5.4600
angles: 90.00 90.00 90.00
Atoms (fractional coordinates):
Rb (0.5000, 0.5000, 0.5000)
Tl (0.5000, 0.0000, 0.0000)
Tl (0.0000, 0.0000, 0.5000)
Tl (0.0000, 0.5000, 0.0000)
Li (0.0000, 0.0000, 0.0000)

E: -2.024 eV per atom
Excess energy over the best structure of this formula in the dataset: 0.35 eV per formula unit
E_form: -0.1 eV/f.u.

***

Record 8
The following is a DFT calculation (PBE) of a geometry-optimized RbLiTl2 structure.

abc: 5.7169 5.7169 5.7169
angles: 60.00 60.00 60.00
Atoms (fractional coordinates):
Tl (0.2500, 0.2500, 0.2500)
Tl (0.7500, 0.7500, 0.7500)
Li (0.0000, 0.0000, 0.0000)
Rb (0.5000, 0.5000, 0.5000)

E: -1.834 eV per atom
Excess energy over the best structure of this formula in the dataset: 0.78 eV per formula unit
E_form: 0.3 eV/f.u.